# Tb2PrY3Er6 | Alexandria | PBE | relaxed
data_Tb2PrY3Er6
_chemical_formula_sum 'Tb4 Pr2 Y6 Er12'
_cell_length_a 6.152
_cell_length_b 10.645
_cell_length_c 11.754
_cell_angle_alpha 90.00
_cell_angle_beta 100.01
_cell_angle_gamma 90.00
_symmetry_space_group_name_H-M 'C 1 2/m 1'
_symmetry_Int_Tables_number 12
loop_
_symmetry_equiv_pos_as_xyz
'x,y,z'
'-x,-y,-z'
'-x,y,-z'
'x,-y,z'
'x+1/2,y+1/2,z'
'-x+1/2,-y+1/2,-z'
'-x+1/2,y+1/2,-z'
'x+1/2,-y+1/2,z'
loop_
_atom_site_label
_atom_site_fract_x
_atom_site_fract_y
_atom_site_fract_z
Tb1 0.000 0.167 0.000
Pr1 0.000 0.500 0.000
Y1 0.000 0.000 0.500
Y2 0.000 0.333 0.500
Er1 0.249 0.167 0.749
Er2 0.250 0.000 0.251
# - Total moment: 0.000 μB/atom
# - Total energy: -5.045 eV/atom
# - ΔH_f (0 K): 26 kJ/mol of formula units


# BeRuN2O | Alexandria | PBE | relaxed
data_BeRuN2O
_chemical_formula_sum 'Be1 Ru1 N2 O1'
_cell_length_a 3.712
_cell_length_b 3.712
_cell_length_c 4.246
_cell_angle_alpha 90.00
_cell_angle_beta 90.00
_cell_angle_gamma 90.00
_symmetry_space_group_name_H-M 'P 4/m m m'
_symmetry_Int_Tables_number 123
_symmetry_space_group_name_Hall '-P 4 2'
loop_
_atom_site_label
_atom_site_fract_x
_atom_site_fract_y
_atom_site_fract_z
Be1 0.000 0.000 0.000
Ru1 0.500 0.500 0.500
N1 0.000 0.500 0.500
O1 0.500 0.500 0.000
# - Total moment: 0.000 μB/atom
# - Formation energy from raw total energies: 0.9432 eV per atom
# - Total energy: -5.979 eV/atom


# Sr4Ca2O | Alexandria | PBE | relaxed
data_Sr4Ca2O
_chemical_formula_sum 'Sr8 Ca4 O2'
_cell_length_a 5.204
_cell_length_b 5.204
_cell_length_c 20.861
_cell_angle_alpha 90.00
_cell_angle_beta 90.00
_cell_angle_gamma 90.00
_symmetry_space_group_name_H-M 'I 4/m m m'
_symmetry_Int_Tables_number 139
_symmetry_space_group_name_Hall '-I 4 2'
loop_
_atom_site_label
_atom_site_fract_x
_atom_site_fract_y
_atom_site_fract_z
Sr1 0.000 0.000 0.129
Sr2 0.000 0.500 0.000
Ca1 0.000 0.000 0.316
O1 0.000 0.000 0.000
# - Total moment: 0.000 μB/atom
# - Formation energy from raw total energies: -0.5902 eV per atom
# - Total energy: -2.831 eV/atom


# CsSnTe2Se6 | Alexandria | PBE | relaxed
data_CsSnTe2Se6
_chemical_formula_sum 'Cs4 Sn4 Te8 Se24'
_cell_length_a 11.054
_cell_length_b 16.946
_cell_length_c 9.806
_cell_angle_alpha 90.00
_cell_angle_beta 111.21
_cell_angle_gamma 90.00
_symmetry_space_group_name_H-M 'C 1 2/c 1'
_symmetry_Int_Tables_number 15
loop_
_symmetry_equiv_pos_as_xyz
'x,y,z'
'-x,-y,-z'
'-x,y,-z+1/2'
'x,-y,z+1/2'
'x+1/2,y+1/2,z'
'-x+1/2,-y+1/2,-z'
'-x+1/2,y+1/2,-z+1/2'
'x+1/2,-y+1/2,z+1/2'
loop_
_atom_site_label
_atom_site_fract_x
_atom_site_fract_y
_atom_site_fract_z
Cs1 0.000 0.089 0.250
Sn1 0.000 0.213 0.750
Te1 0.105 0.416 0.135
Se1 0.024 0.280 0.002
Se2 0.157 0.115 0.677
Se3 0.169 0.493 0.467
# - Total moment: 0.000 μB/atom
# - Formation energy from raw total energies: -0.2072 eV per atom
# - Total energy: -3.412 eV/atom


# ReAsAu2 | Alexandria | PBE | relaxed
data_ReAsAu2
_chemical_formula_sum 'Re4 As4 Au8'
_cell_length_a 7.513
_cell_length_b 7.513
_cell_length_c 5.170
_cell_angle_alpha 90.00
_cell_angle_beta 90.00
_cell_angle_gamma 90.00
_symmetry_space_group_name_H-M 'I -4 2 d'
_symmetry_Int_Tables_number 122
_symmetry_space_group_name_Hall 'I -4 2bw'
loop_
_atom_site_label
_atom_site_fract_x
_atom_site_fract_y
_atom_site_fract_z
Re1 0.000 0.000 0.000
As1 0.000 0.000 0.500
Au1 0.240 0.750 0.625
# - Total moment: 0.238 μB/atom
# - Total energy: -5.265 eV/atom
# - ΔH_f (0 K): 250 kJ/mol of formula units


# AlGaAu4 | Alexandria | PBE | relaxed
data_AlGaAu4
_chemical_formula_sum 'Al2 Ga2 Au8'
_cell_length_a 6.286
_cell_length_b 7.374
_cell_length_c 4.923
_cell_angle_alpha 90.00
_cell_angle_beta 108.38
_cell_angle_gamma 90.00
_symmetry_space_group_name_H-M 'P 1 21/c 1'
_symmetry_Int_Tables_number 14
loop_
_symmetry_equiv_pos_as_xyz
'x,y,z'
'-x,-y,-z'
'-x,y+1/2,-z+1/2'
'x,-y+1/2,z+1/2'
loop_
_atom_site_label
_atom_site_fract_x
_atom_site_fract_y
_atom_site_fract_z
Al1 0.000 0.000 0.000
Ga1 0.500 0.000 0.000
Au1 0.150 0.157 0.592
Au2 0.339 0.655 0.887
# - Total moment: 0.000 μB/atom
# - Polymorph energy (0 for the lowest one): 6.1 kJ/mol of formula units
# - Total energy: -3.508 eV/atom
# - ΔH_f (0 K): -113 kJ/mol of formula units


# AcMgGe4 | Alexandria | PBE | relaxed
data_AcMgGe4
_chemical_formula_sum 'Ac4 Mg4 Ge16'
_cell_length_a 8.170
_cell_length_b 8.170
_cell_length_c 8.170
_cell_angle_alpha 90.00
_cell_angle_beta 90.00
_cell_angle_gamma 90.00
_symmetry_space_group_name_H-M 'F -4 3 m'
_symmetry_Int_Tables_number 216
_symmetry_space_group_name_Hall 'F -4 2 3'
loop_
_atom_site_label
_atom_site_fract_x
_atom_site_fract_y
_atom_site_fract_z
Ac1 0.000 0.000 0.000
Mg1 0.250 0.250 0.250
Ge1 0.123 0.123 0.623
# - Total moment: 0.000 μB/atom
# - Total energy: -4.238 eV/atom
# - ΔH_f (0 K): -121 kJ/mol of formula units


# HfTa2Fe9 | Alexandria | PBE | relaxed
data_HfTa2Fe9
_chemical_formula_sum 'Hf3 Ta6 Fe27'
_cell_length_a 4.8134
_cell_length_b 4.8134
_cell_length_c 23.5053
_cell_angle_alpha 90.00
_cell_angle_beta 90.00
_cell_angle_gamma 120.00
_symmetry_space_group_name_H-M 'R -3 m'
_symmetry_Int_Tables_number 166
_symmetry_space_group_name_Hall '-R 3 2"'
loop_
_atom_site_label
_atom_site_fract_x
_atom_site_fract_y
_atom_site_fract_z
Hf1 0.0000 0.0000 0.0000
Ta1 0.0000 0.0000 0.1420
Fe1 0.0000 0.0000 0.3336
Fe2 0.0000 0.0000 0.5000
Fe3 0.0046 0.5023 0.9144
# - Total moment: 1.216 μB/atom
# - Total energy: -9.328 eV/atom
# - ΔH_f (0 K): -204 kJ/mol of formula units